VASP calculation (PBE with a Hubbard U) on TlAgMoO5 after structural relaxation.

- Mass density: 5997 kg/m3
- Electronic total energy: -5.613 eV/atom

Unit cell a=6.8598 b=11.3018 c=7.5534 alpha=90.00 beta=112.58 gamma=90.00
Space group C2/c (No. 15)
Asymmetric unit:
Tl1 0.0000 0.0000 0.0000 [4 per cell]
Ag1 0.0000 0.2900 0.2500 [4 per cell]
Mo1 0.0000 0.2890 0.7500 [4 per cell]
O1 0.0000 0.0781 0.2500 [4 per cell]
O2 0.1490 0.1951 0.6484 [8 per cell]
O3 0.1734 0.3812 0.9349 [8 per cell]